DFT (PBE) results for a geometry-optimized Mg2AgIr structure.

Unit cell a=3.180 b=3.180 c=6.591 alpha=90.00 beta=90.00 gamma=90.00
Space group P4/mmm (No. 123)
Inequivalent atoms, fractional coordinates:
Mg 0.000 0.000 0.224
Ag 0.500 0.500 0.500
Ir 0.500 0.500 0.000

## Properties
M_tot   0.00 μB per atom
Mass density   8.69 g/cm3
Energy relative to the lowest polymorph listed for this composition   0.0000 eV per atom


DFT (PBE) results for a geometry-optimized Mg2AgIr structure.

Unit cell a=4.547 b=4.547 c=6.328 alpha=90.00 beta=90.00 gamma=90.00
Space group I4/mmm (No. 139)
Inequivalent atoms, fractional coordinates:
Mg 0.000 0.500 0.250
Ag 0.000 0.000 0.000
Ir 0.000 0.000 0.500

## Properties
M_tot   0.00 μB per atom
Mass density   8.85 g/cm3
Energy relative to the lowest polymorph listed for this composition   0.0141 eV per atom


DFT (PBE) results for a geometry-optimized Mg2AgIr structure.

Unit cell a=4.509 b=4.509 c=6.445 alpha=90.00 beta=90.00 gamma=90.00
Space group I4/mmm (No. 139)
Inequivalent atoms, fractional coordinates:
Mg 0.000 0.500 0.250
Ag 0.000 0.000 0.000
Ir 0.000 0.000 0.500

## Properties
M_tot   0.00 μB per atom
Mass density   8.84 g/cm3
Energy relative to the lowest polymorph listed for this composition   0.0138 eV per atom


DFT (PBE) results for a geometry-optimized Mg2AgIr structure.

Unit cell a=6.103 b=6.781 c=3.154 alpha=90.00 beta=90.00 gamma=90.00
Space group Cmmm (No. 65)
Inequivalent atoms, fractional coordinates:
Mg 0.250 0.250 0.000
Ag 0.000 0.000 0.500
Ir 0.000 0.500 0.500

## Properties
M_tot   0.00 μB per atom
Mass density   8.87 g/cm3
Energy relative to the lowest polymorph listed for this composition   0.0160 eV per atom


DFT (PBE) results for a geometry-optimized Nd3Mg3AgIr2 structure.

Unit cell a=7.5881 b=7.5881 c=4.1099 alpha=90.00 beta=90.00 gamma=120.00
Space group P-62m (No. 189)
Inequivalent atoms, fractional coordinates:
Nd 0.0000 0.4226 0.0000
Mg 0.0000 0.7479 0.5000
Ag 0.0000 0.0000 0.0000
Ir 0.3333 0.6667 0.5000

## Properties
M_tot   0.00 μB per atom
Final energy   -43.90 eV/cell
Mass density   8.09 g/cm3


DFT (PBE) results for a geometry-optimized Pr2NdMg3AgIr2 structure.

Unit cell a=4.117 b=13.227 c=7.644 alpha=90.00 beta=90.00 gamma=90.00
Space group Amm2 (No. 38)
Inequivalent atoms, fractional coordinates:
Pr 0.000 0.211 0.000
Nd 0.000 0.000 0.633
Mg 0.500 0.000 0.960
Mg 0.500 0.125 0.337
Ag 0.000 0.000 0.212
Ir 0.500 0.166 0.711

## Properties
M_tot   0.00 μB per atom
Final energy   -87.67 eV/cell
Mass density   7.91 g/cm3


Question: What is the mass density in the second record?
Answer: 8.85 g/cm3